Record 1
Below is a relaxed structure of Ba3Al4Ga4, with properties calculated at the GGA-PBE level.

Cell lengths 27.1954, 4.5158, 4.8584 Å; angles 90.00, 100.27, 90.00 degrees
Space group C2/m (No. 12)
Unique sites:
Ba: 0.0000 0.0000 0.0000
Ba: 0.1500 0.5000 0.1498
Al: 0.0962 0.0000 0.5955
Al: 0.2501 0.0000 0.2491
Ga: 0.0495 0.5000 0.5483
Ga: 0.1958 0.0000 0.6953

Properties
Crystal system   monoclinic

***

Record 2
Below is a relaxed structure of Ba2Al3Ga, with properties calculated at the GGA-PBE level.

Cell lengths 4.5220, 5.2161, 7.8824 Å; angles 90.00, 90.00, 90.00 degrees
Space group Pmm2 (No. 25)
Unique sites:
Ba: 0.0000 0.0000 0.0000
Ba: 0.5000 0.0000 0.4970
Al: 0.0000 0.5000 0.3284
Al: 0.0000 0.5000 0.6650
Al: 0.5000 0.5000 0.8360
Ga: 0.5000 0.5000 0.1654

Properties
Crystal system   orthorhombic

***

Record 3
Below is a relaxed structure of Ba12Al5Ga3, with properties calculated at the GGA-PBE level.

Cell lengths 20.0503, 20.0503, 20.0503 Å; angles 90.00, 90.00, 90.00 degrees
Space group Ia-3d (No. 230)
Unique sites:
Ba: 0.0203 0.0753 0.6504
Al: 0.0000 0.0000 0.0000
Al: 0.0000 0.2500 0.3750
Ga: 0.0000 0.2500 0.1250

Properties
Crystal system   cubic

***

Record 4
Below is a relaxed structure of Ba3Al7Ga4, with properties calculated at the GGA-PBE level.

Cell lengths 17.0249, 4.5568, 10.5286 Å; angles 90.00, 126.42, 90.00 degrees
Space group C2/m (No. 12)
Unique sites:
Ba: 0.0000 0.0000 0.0000
Ba: 0.1905 0.5000 0.6894
Al: 0.0000 0.0000 0.5000
Al: 0.9999 0.5000 0.2871
Al: 0.1442 0.0000 0.4197
Al: 0.1668 0.5000 0.0230
Ga: 0.1379 0.0000 0.8610
Ga: 0.1583 0.5000 0.2928

Properties
Crystal system   monoclinic

***

Record 5
Below is a relaxed structure of Ba6AlGa2, with properties calculated at the GGA-PBE level.

Cell lengths 11.1939, 11.7446, 12.0847 Å; angles 90.00, 90.00, 90.00 degrees
Space group Immm (No. 71)
Unique sites:
Ba: 0.0000 0.1816 0.2497
Ba: 0.1831 0.5000 0.1624
Ba: 0.2324 0.3268 0.5000
Al: 0.0000 0.0000 0.0000
Al: 0.0000 0.0000 0.5000
Ga: 0.0000 0.3250 0.0000
Ga: 0.0000 0.5000 0.3944

Properties
Crystal system   orthorhombic

***

Record 6
Below is a relaxed structure of Ba3Al5Ga2, with properties calculated at the GGA-PBE level.

Cell lengths 15.7030, 11.2063, 6.7929 Å; angles 90.00, 115.13, 90.00 degrees
Space group C2/c (No. 15)
Unique sites:
Ba: 0.0000 0.0099 0.2500
Ba: 0.1267 0.2680 0.1230
Al: 0.0000 0.4998 0.2500
Al: 0.1251 0.3793 0.6230
Al: 0.2499 0.0002 0.0051
Ga: 0.1522 0.1455 0.6605

Properties
Crystal system   monoclinic

***

So what do the calculations give for VASP energy? Going down the list: -73.14 -19.73 -368.37 -94.63 -90.82 -128.79 eV/cell.
So what do the calculations give for volume? Going down the list: 294 186 1008 329 397 271 Å³/f.u..